# Rb2PuScSe4 | Alexandria | PBE-GGA | relaxed
data_Rb2PuScSe4
_chemical_formula_sum 'Rb2 Pu1 Sc1 Se4'
_cell_length_a 7.259
_cell_length_b 4.186
_cell_length_c 8.296
_cell_angle_alpha 90.00
_cell_angle_beta 106.89
_cell_angle_gamma 90.00
_space_group_name_H-M_alt 'P 1 2/m 1'
_space_group_IT_number 10
_space_group_name_Hall '-P 2y'
loop_
_atom_site_label
_atom_site_fract_x
_atom_site_fract_y
_atom_site_fract_z
Rb1 0.000 0.000 0.000
Rb2 0.500 0.500 0.000
Pu1 0.000 0.500 0.500
Sc1 0.500 0.000 0.500
Se1 0.244 0.000 0.692
Se2 0.284 0.500 0.312
# ΔE_f (raw), eV/atom: -1.50
# Total magnetization, Bohr magnetons per cell: 5.00
# Calculated total energy, eV per cell: -48.509



# Rb3PuSc2Se6 | Alexandria | PBE-GGA | relaxed
data_Rb3PuSc2Se6
_chemical_formula_sum 'Rb6 Pu2 Sc4 Se12'
_cell_length_a 7.180
_cell_length_b 12.438
_cell_length_c 8.282
_cell_angle_alpha 90.00
_cell_angle_beta 106.83
_cell_angle_gamma 90.00
_space_group_name_H-M_alt 'C 1 2/m 1'
_space_group_IT_number 12
_space_group_name_Hall '-C 2y'
loop_
_atom_site_label
_atom_site_fract_x
_atom_site_fract_y
_atom_site_fract_z
Rb1 0.000 0.000 0.000
Rb2 0.000 0.336 0.000
Pu1 0.000 0.500 0.500
Sc1 0.000 0.167 0.500
Se1 0.214 0.000 0.688
Se2 0.237 0.326 0.689
# ΔE_f (raw), eV/atom: -1.52
# Total magnetization, Bohr magnetons per cell: 10.00
# Calculated total energy, eV per cell: -138.110



# Rb2PuScTe4 | Alexandria | PBE-GGA | relaxed
data_Rb2PuScTe4
_chemical_formula_sum 'Rb2 Pu1 Sc1 Te4'
_cell_length_a 7.785
_cell_length_b 4.476
_cell_length_c 8.868
_cell_angle_alpha 90.00
_cell_angle_beta 106.87
_cell_angle_gamma 90.00
_space_group_name_H-M_alt 'P 1 2/m 1'
_space_group_IT_number 10
_space_group_name_Hall '-P 2y'
loop_
_atom_site_label
_atom_site_fract_x
_atom_site_fract_y
_atom_site_fract_z
Rb1 0.000 0.000 0.000
Rb2 0.500 0.500 0.000
Pu1 0.000 0.500 0.500
Sc1 0.500 0.000 0.500
Te1 0.246 0.000 0.696
Te2 0.283 0.500 0.309
# ΔE_f (raw), eV/atom: -1.15
# Total magnetization, Bohr magnetons per cell: 5.00
# Calculated total energy, eV per cell: -44.399



# Rb4Pu3ScTe8 | Alexandria | PBE-GGA | relaxed
data_Rb4Pu3ScTe8
_chemical_formula_sum 'Rb12 Pu9 Sc3 Te24'
_cell_length_a 9.0922
_cell_length_b 9.0922
_cell_length_c 25.4759
_cell_angle_alpha 90.00
_cell_angle_beta 90.00
_cell_angle_gamma 120.00
_space_group_name_H-M_alt 'R -3 m'
_space_group_IT_number 166
_space_group_name_Hall '-R 3 2"'
loop_
_atom_site_label
_atom_site_fract_x
_atom_site_fract_y
_atom_site_fract_z
Rb1 0.0000 0.0000 0.0000
Rb2 0.0000 0.5000 0.0000
Pu1 0.0000 0.5000 0.5000
Sc1 0.0000 0.0000 0.5000
Te1 0.0000 0.0000 0.2335
Te2 0.0138 0.5069 0.2316
# ΔE_f (raw), eV/atom: -1.13
# Total magnetization, Bohr magnetons per cell: 45.00
# Calculated total energy, eV per cell: -289.099



Please write out number 1 again, unchanged.
# Rb2PuScSe4 | Alexandria | PBE-GGA | relaxed
data_Rb2PuScSe4
_chemical_formula_sum 'Rb2 Pu1 Sc1 Se4'
_cell_length_a 7.259
_cell_length_b 4.186
_cell_length_c 8.296
_cell_angle_alpha 90.00
_cell_angle_beta 106.89
_cell_angle_gamma 90.00
_space_group_name_H-M_alt 'P 1 2/m 1'
_space_group_IT_number 10
_space_group_name_Hall '-P 2y'
loop_
_atom_site_label
_atom_site_fract_x
_atom_site_fract_y
_atom_site_fract_z
Rb1 0.000 0.000 0.000
Rb2 0.500 0.500 0.000
Pu1 0.000 0.500 0.500
Sc1 0.500 0.000 0.500
Se1 0.244 0.000 0.692
Se2 0.284 0.500 0.312
# ΔE_f (raw), eV/atom: -1.50
# Total magnetization, Bohr magnetons per cell: 5.00
# Calculated total energy, eV per cell: -48.509